# 1
A relaxed structure of AlCu2Br. Source: Alexandria via LeMat-Bulk, functional PBE.

## Properties
Uncorrected energy: -12.41 eV for the cell shown
Raw formation energy: 1.20 eV/f.u.

Structure (CIF):
```
data_AlCu2Br
_chemical_formula_sum 'Al1 Cu2 Br1'
_cell_length_a 4.7543
_cell_length_b 4.7543
_cell_length_c 3.2052
_cell_angle_alpha 89.96
_cell_angle_beta 89.96
_cell_angle_gamma 113.14
_symmetry_space_group_name_H-M 'P 1'
_symmetry_Int_Tables_number 1
loop_
_symmetry_equiv_pos_as_xyz
'x,y,z'
loop_
_atom_site_label
_atom_site_type_symbol
_atom_site_fract_x
_atom_site_fract_y
_atom_site_fract_z
_atom_site_occupancy
Cu1 Cu 0.5000 0.5000 0.0000 1
Cu2 Cu 0.0000 0.0000 0.0000 1
Br1 Br 0.0000 0.5000 0.5000 1
Al1 Al 0.5000 0.0000 0.5000 1
```

# 2
A relaxed structure of AlCu4Br. Source: Alexandria via LeMat-Bulk, functional PBE.

## Properties
Uncorrected energy: -20.35 eV for the cell shown
Raw formation energy: 1.45 eV/f.u.

Structure (CIF):
```
data_AlCu4Br
_chemical_formula_sum 'Al1 Cu4 Br1'
_cell_length_a 5.0756
_cell_length_b 5.0756
_cell_length_c 5.0756
_cell_angle_alpha 60.00
_cell_angle_beta 60.00
_cell_angle_gamma 60.00
_symmetry_space_group_name_H-M 'P 1'
_symmetry_Int_Tables_number 1
loop_
_symmetry_equiv_pos_as_xyz
'x,y,z'
loop_
_atom_site_label
_atom_site_type_symbol
_atom_site_fract_x
_atom_site_fract_y
_atom_site_fract_z
_atom_site_occupancy
Cu1 Cu 0.8735 0.3755 0.3755 1
Cu2 Cu 0.3755 0.8735 0.3755 1
Cu3 Cu 0.3755 0.3755 0.8735 1
Cu4 Cu 0.3755 0.3755 0.3755 1
Al1 Al 0.7500 0.7500 0.7500 1
Br1 Br 0.0000 0.0000 0.0000 1
```

# 3
A relaxed structure of Al2CuBr8. Source: Alexandria via LeMat-Bulk, functional PBE.

## Properties
Uncorrected energy: -68.89 eV for the cell shown
Raw formation energy: -9.48 eV/f.u.

Structure (CIF):
```
data_Al2CuBr8
_chemical_formula_sum 'Al4 Cu2 Br16'
_cell_length_a 9.2808
_cell_length_b 10.7826
_cell_length_c 10.4797
_cell_angle_alpha 71.70
_cell_angle_beta 63.72
_cell_angle_gamma 64.51
_symmetry_space_group_name_H-M 'P 1'
_symmetry_Int_Tables_number 1
loop_
_symmetry_equiv_pos_as_xyz
'x,y,z'
loop_
_atom_site_label
_atom_site_type_symbol
_atom_site_fract_x
_atom_site_fract_y
_atom_site_fract_z
_atom_site_occupancy
Br1 Br 0.8830 0.0562 0.7706 1
Br2 Br 0.1170 0.9438 0.2294 1
Br3 Br 0.7091 0.7595 0.9302 1
Br4 Br 0.2909 0.2405 0.0698 1
Br5 Br 0.8987 0.2713 0.0039 1
Br6 Br 0.1739 0.2287 0.4961 1
Br7 Br 0.1013 0.7287 0.9961 1
Br8 Br 0.8261 0.7713 0.5039 1
Br9 Br 0.7097 0.4438 0.7294 1
Br10 Br 0.1577 0.4578 0.6873 1
Br11 Br 0.6012 0.2595 0.4302 1
Br12 Br 0.2903 0.5562 0.2706 1
Br13 Br 0.3988 0.7405 0.5698 1
Br14 Br 0.8423 0.5422 0.3127 1
Br15 Br 0.6972 0.9578 0.1873 1
Br16 Br 0.3028 0.0422 0.8127 1
Al1 Al 0.8359 0.8808 0.9629 1
Al2 Al 0.3203 0.3808 0.4629 1
Al3 Al 0.6797 0.6192 0.5371 1
Al4 Al 0.1641 0.1192 0.0371 1
Cu1 Cu 0.9569 0.7500 0.2500 1
Cu2 Cu 0.0431 0.2500 0.7500 1
```

# 4
A relaxed structure of Al2CuBr. Source: Alexandria via LeMat-Bulk, functional PBE.

## Properties
Uncorrected energy: -12.94 eV for the cell shown
Raw formation energy: 0.31 eV/f.u.

Structure (CIF):
```
data_Al2CuBr
_chemical_formula_sum 'Al2 Cu1 Br1'
_cell_length_a 3.5192
_cell_length_b 4.2566
_cell_length_c 6.2619
_cell_angle_alpha 90.12
_cell_angle_beta 90.00
_cell_angle_gamma 90.00
_symmetry_space_group_name_H-M 'P 1'
_symmetry_Int_Tables_number 1
loop_
_symmetry_equiv_pos_as_xyz
'x,y,z'
loop_
_atom_site_label
_atom_site_type_symbol
_atom_site_fract_x
_atom_site_fract_y
_atom_site_fract_z
_atom_site_occupancy
Br1 Br 0.0000 0.7481 0.5259 1
Al1 Al 0.5000 0.2507 0.0308 1
Al2 Al 0.0000 0.7512 0.1146 1
Cu1 Cu 0.5000 0.7501 0.8287 1
```

# 5
A relaxed structure of AlCu2Br. Source: Alexandria via LeMat-Bulk, functional PBE.

## Properties
Uncorrected energy: -11.85 eV for the cell shown
Raw formation energy: 1.75 eV/f.u.

Structure (CIF):
```
data_AlCu2Br
_chemical_formula_sum 'Al1 Cu2 Br1'
_cell_length_a 3.1563
_cell_length_b 4.6288
_cell_length_c 4.6288
_cell_angle_alpha 90.00
_cell_angle_beta 90.00
_cell_angle_gamma 90.00
_symmetry_space_group_name_H-M 'P 1'
_symmetry_Int_Tables_number 1
loop_
_symmetry_equiv_pos_as_xyz
'x,y,z'
loop_
_atom_site_label
_atom_site_type_symbol
_atom_site_fract_x
_atom_site_fract_y
_atom_site_fract_z
_atom_site_occupancy
Cu1 Cu 0.0000 0.0000 0.0000 1
Cu2 Cu 0.0000 0.5000 0.5000 1
Br1 Br 0.5000 0.0000 0.5000 1
Al1 Al 0.5000 0.5000 0.0000 1
```

# 6
A relaxed structure of AlCu2Br. Source: Alexandria via LeMat-Bulk, functional PBE.

## Properties
Uncorrected energy: -13.22 eV for the cell shown
Raw formation energy: 0.39 eV/f.u.

Structure (CIF):
```
data_AlCu2Br
_chemical_formula_sum 'Al1 Cu2 Br1'
_cell_length_a 7.4910
_cell_length_b 7.4910
_cell_length_c 7.4910
_cell_angle_alpha 25.65
_cell_angle_beta 25.65
_cell_angle_gamma 25.65
_symmetry_space_group_name_H-M 'P 1'
_symmetry_Int_Tables_number 1
loop_
_symmetry_equiv_pos_as_xyz
'x,y,z'
loop_
_atom_site_label
_atom_site_type_symbol
_atom_site_fract_x
_atom_site_fract_y
_atom_site_fract_z
_atom_site_occupancy
Br1 Br 0.7500 0.7500 0.7500 1
Cu1 Cu 0.5038 0.5038 0.5038 1
Cu2 Cu 0.9962 0.9962 0.9962 1
Al1 Al 0.2500 0.2500 0.2500 1
```

# 7
A relaxed structure of AlCu2Br. Source: Alexandria via LeMat-Bulk, functional PBE.

## Properties
Uncorrected energy: -12.39 eV for the cell shown
Raw formation energy: 1.21 eV/f.u.

Structure (CIF):
```
data_AlCu2Br
_chemical_formula_sum 'Al1 Cu2 Br1'
_cell_length_a 6.2407
_cell_length_b 6.2407
_cell_length_c 6.2407
_cell_angle_alpha 146.49
_cell_angle_beta 146.49
_cell_angle_gamma 48.13
_symmetry_space_group_name_H-M 'P 1'
_symmetry_Int_Tables_number 1
loop_
_symmetry_equiv_pos_as_xyz
'x,y,z'
loop_
_atom_site_label
_atom_site_type_symbol
_atom_site_fract_x
_atom_site_fract_y
_atom_site_fract_z
_atom_site_occupancy
Br1 Br 0.7500 0.2500 0.5000 1
Al1 Al 0.5000 0.5000 0.0000 1
Cu1 Cu 0.0000 0.0000 0.0000 1
Cu2 Cu 0.2500 0.7500 0.5000 1
```

# 8
A relaxed structure of AlCuBr4. Source: Alexandria via LeMat-Bulk, functional PBE.

## Properties
Uncorrected energy: -39.10 eV for the cell shown
Raw formation energy: -5.02 eV/f.u.

Structure (CIF):
```
data_AlCuBr4
_chemical_formula_sum 'Al2 Cu2 Br8'
_cell_length_a 5.9954
_cell_length_b 5.9954
_cell_length_c 10.4499
_cell_angle_alpha 90.00
_cell_angle_beta 90.00
_cell_angle_gamma 90.00
_symmetry_space_group_name_H-M 'P 1'
_symmetry_Int_Tables_number 1
loop_
_symmetry_equiv_pos_as_xyz
'x,y,z'
loop_
_atom_site_label
_atom_site_type_symbol
_atom_site_fract_x
_atom_site_fract_y
_atom_site_fract_z
_atom_site_occupancy
Al1 Al 0.5000 0.0000 0.7500 1
Al2 Al 0.0000 0.5000 0.2500 1
Br1 Br 0.7278 0.7723 0.8766 1
Br2 Br 0.7723 0.7278 0.3766 1
Br3 Br 0.2722 0.7723 0.6234 1
Br4 Br 0.2277 0.2722 0.3766 1
Br5 Br 0.2277 0.7278 0.1234 1
Br6 Br 0.2722 0.2277 0.8766 1
Br7 Br 0.7723 0.2722 0.1234 1
Br8 Br 0.7278 0.2277 0.6234 1
Cu1 Cu 0.0000 0.0000 0.5000 1
Cu2 Cu 0.0000 0.0000 0.0000 1
```

| no. | density of states at the Fermi level (states/eV/cell) |
| --- | --- |
| 1 | 1.15 |
| 2 | 0.67 |
| 3 | 5.71 |
| 4 | 2.22 |
| 5 | 1.82 |
| 6 | 1.65 |
| 7 | 1.36 |
| 8 | 0.00 |